(1)
Here is a geometry-optimized Ce2Ga2AgPd5 structure from Alexandria. Energies are from GGA-PBE.

The structure in CIF format:
```
data_Ce2Ga2AgPd5
_chemical_formula_sum 'Ce4 Ga4 Ag2 Pd10'
_cell_length_a 10.203
_cell_length_b 10.203
_cell_length_c 3.617
_cell_angle_alpha 90.00
_cell_angle_beta 90.00
_cell_angle_gamma 90.00
_symmetry_space_group_name_H-M 'P 4/m b m'
_symmetry_Int_Tables_number 127
_symmetry_space_group_name_Hall '-P 4 2ab'
loop_
_atom_site_label
_atom_site_type_symbol
_atom_site_fract_x
_atom_site_fract_y
_atom_site_fract_z
Ce1 Ce 0.178 0.322 0.000
Ga1 Ga 0.123 0.623 0.000
Ag1 Ag 0.000 0.000 0.000
Pd1 Pd 0.000 0.500 0.500
Pd2 Pd 0.056 0.794 0.500
```

Calculated values
For the magnetization, the calculation gives 4.47 μB/cell. For the electronic total energy, the calculation gives -5.209 eV/atom. Its density of states at the Fermi level is 35.26 states/eV/cell.

(2)
Here is a geometry-optimized Ce2Ga3AgPd4 structure from Alexandria. Energies are from GGA-PBE.

The structure in CIF format:
```
data_Ce2Ga3AgPd4
_chemical_formula_sum 'Ce2 Ga3 Ag1 Pd4'
_cell_length_a 4.069
_cell_length_b 4.069
_cell_length_c 11.759
_cell_angle_alpha 90.00
_cell_angle_beta 90.00
_cell_angle_gamma 90.00
_symmetry_space_group_name_H-M 'P -4 m 2'
_symmetry_Int_Tables_number 115
loop_
_symmetry_equiv_pos_as_xyz
'x,y,z'
'y,-x,-z'
'-x,-y,z'
'-y,x,-z'
'-x,y,z'
'-y,-x,-z'
'x,-y,z'
'y,x,-z'
loop_
_atom_site_label
_atom_site_type_symbol
_atom_site_fract_x
_atom_site_fract_y
_atom_site_fract_z
Ce1 Ce 0.000 0.500 0.246
Ga1 Ga 0.000 0.000 0.000
Ga2 Ga 0.000 0.500 0.628
Ag1 Ag 0.500 0.500 0.000
Pd1 Pd 0.000 0.000 0.500
Pd2 Pd 0.000 0.500 0.841
Pd3 Pd 0.500 0.500 0.500
```

Calculated values
For the magnetization, the calculation gives 1.54 μB/cell. For the electronic total energy, the calculation gives -5.115 eV/atom. Its density of states at the Fermi level is 11.46 states/eV/cell.

(3)
Here is a geometry-optimized CeGa4AgPd2 structure from Alexandria. Energies are from GGA-PBE.

The structure in CIF format:
```
data_CeGa4AgPd2
_chemical_formula_sum 'Ce3 Ga12 Ag3 Pd6'
_cell_length_a 4.3478
_cell_length_b 4.3478
_cell_length_c 26.8591
_cell_angle_alpha 90.00
_cell_angle_beta 90.00
_cell_angle_gamma 120.00
_symmetry_space_group_name_H-M 'R -3 m'
_symmetry_Int_Tables_number 166
_symmetry_space_group_name_Hall '-R 3 2"'
loop_
_atom_site_label
_atom_site_type_symbol
_atom_site_fract_x
_atom_site_fract_y
_atom_site_fract_z
Ce1 Ce 0.0000 0.0000 0.0000
Ga1 Ga 0.0000 0.0000 0.1216
Ga2 Ga 0.0000 0.0000 0.3966
Ag1 Ag 0.0000 0.0000 0.5000
Pd1 Pd 0.0000 0.0000 0.2384
```

Calculated values
For the magnetization, the calculation gives 1.55 μB/cell. For the electronic total energy, the calculation gives -4.382 eV/atom. Its density of states at the Fermi level is 20.88 states/eV/cell.

(4)
Here is a geometry-optimized CePmGaAg structure from Alexandria. Energies are from GGA-PBE.

The structure in CIF format:
```
data_CePmGaAg
_chemical_formula_sum 'Ce4 Pm4 Ga4 Ag4'
_cell_length_a 7.413
_cell_length_b 7.413
_cell_length_c 7.413
_cell_angle_alpha 90.00
_cell_angle_beta 90.00
_cell_angle_gamma 90.00
_symmetry_space_group_name_H-M 'F -4 3 m'
_symmetry_Int_Tables_number 216
_symmetry_space_group_name_Hall 'F -4 2 3'
loop_
_atom_site_label
_atom_site_type_symbol
_atom_site_fract_x
_atom_site_fract_y
_atom_site_fract_z
Ce1 Ce 0.000 0.000 0.000
Pm1 Pm 0.000 0.000 0.500
Ga1 Ga 0.250 0.250 0.750
Ag1 Ag 0.250 0.250 0.250
```

Calculated values
For the magnetization, the calculation gives 5.42 μB/cell. For the electronic total energy, the calculation gives -4.457 eV/atom. Its density of states at the Fermi level is 39.91 states/eV/cell.

(5)
Here is a geometry-optimized Ce2PrGa2Ag2 structure from Alexandria. Energies are from GGA-PBE.

The structure in CIF format:
```
data_Ce2PrGa2Ag2
_chemical_formula_sum 'Ce6 Pr3 Ga6 Ag6'
_cell_length_a 4.5382
_cell_length_b 4.5382
_cell_length_c 27.2344
_cell_angle_alpha 90.00
_cell_angle_beta 90.00
_cell_angle_gamma 120.00
_symmetry_space_group_name_H-M 'R -3 m'
_symmetry_Int_Tables_number 166
_symmetry_space_group_name_Hall '-R 3 2"'
loop_
_atom_site_label
_atom_site_type_symbol
_atom_site_fract_x
_atom_site_fract_y
_atom_site_fract_z
Ce1 Ce 0.0000 0.0000 0.1417
Pr1 Pr 0.0000 0.0000 0.0000
Ga1 Ga 0.0000 0.0000 0.2594
Ag1 Ag 0.0000 0.0000 0.4096
```

Calculated values
For the magnetization, the calculation gives 2.91 μB/cell. For the electronic total energy, the calculation gives -4.426 eV/atom. Its density of states at the Fermi level is 28.36 states/eV/cell.

(6)
Here is a geometry-optimized CeGaAgPt structure from Alexandria. Energies are from GGA-PBE.

The structure in CIF format:
```
data_CeGaAgPt
_chemical_formula_sum 'Ce4 Ga4 Ag4 Pt4'
_cell_length_a 6.854
_cell_length_b 6.854
_cell_length_c 6.854
_cell_angle_alpha 90.00
_cell_angle_beta 90.00
_cell_angle_gamma 90.00
_symmetry_space_group_name_H-M 'F -4 3 m'
_symmetry_Int_Tables_number 216
_symmetry_space_group_name_Hall 'F -4 2 3'
loop_
_atom_site_label
_atom_site_type_symbol
_atom_site_fract_x
_atom_site_fract_y
_atom_site_fract_z
Ce1 Ce 0.000 0.000 0.000
Ga1 Ga 0.000 0.000 0.500
Ag1 Ag 0.250 0.250 0.750
Pt1 Pt 0.250 0.250 0.250
```

Calculated values
For the magnetization, the calculation gives 1.37 μB/cell. For the electronic total energy, the calculation gives -4.969 eV/atom. Its density of states at the Fermi level is 22.87 states/eV/cell.

Question: Which of these has the highest magnetization?
Answer: CePmGaAg

Question: What is the formula in the second record?
Answer: Ce2Ga3AgPd4